DFT (PBE) results for a geometry-optimized Ac2UIrRh4 structure.

Lattice parameters (Å, degrees): 5.545 7.353 9.834 83.90 73.63 67.85
Atoms (fractional coordinates):
Ac  0.168  0.000  0.663
Ac  0.832  0.000  0.337
Ac  0.582  0.500  0.837
Ac  0.918  0.500  0.163
U  0.250  0.500  0.500
U  0.500  0.000  0.000
Ir  0.750  0.500  0.500
Ir  0.000  0.000  0.000
Rh  0.339  0.716  0.126
Rh  0.182  0.284  0.874
Rh  0.945  0.716  0.874
Rh  0.535  0.284  0.126
Rh  0.411  0.784  0.374
Rh  0.568  0.216  0.626
Rh  0.805  0.784  0.626
Rh  0.215  0.216  0.374

calculated density = 12.08 g/cm3
spin magnetization = 0.00 μB per formula unit
formation energy from the elements = -0.4839 eV per atom